(1)
The following is a PBE-GGA calculation of an optimized crystal structure of Pr2SmRh, from the Alexandria database.

Unit cell a=3.961 b=3.961 c=9.734 alpha=78.26 beta=78.26 gamma=60.00
Last column: magnetic moment on the atom in μB.
Positions (direct):
Pr  0.060  0.060  0.820  0.02
Pr  0.273  0.273  0.180  0.02
Sm  0.500  0.500  0.499  0.08
Rh  0.666  0.666  0.001  0.01

- E (eV per atom) = -5.65
- M_tot (μB per cell) = 0.3
- E above lowest polymorph (eV per atom) = 0.169
- ΔH_f (0 K) (meV per atom) = -248
- ρ (Mg/m³) = 6.913
- V (Å³/atom) = 32.13

***

(2)
The following is a PBE-GGA calculation of an optimized crystal structure of PmNdTmMg, from the Alexandria database.

Unit cell a=5.573 b=5.573 c=5.573 alpha=60.00 beta=60.00 gamma=60.00
Positions (direct):
Mg  0.000  0.000  0.000
Tm  0.500  0.500  0.500
Nd  0.250  0.250  0.250
Pm  0.750  0.750  0.750

- E (eV per atom) = -3.89
- M_tot (μB per cell) = 0.0
- E above lowest polymorph (eV per atom) = 0.038
- ΔH_f (0 K) (meV per atom) = 11
- ρ (Mg/m³) = 6.545
- V (Å³/atom) = 30.60

***

(3)
The following is a PBE-GGA calculation of an optimized crystal structure of Si2NiP, from the Alexandria database.

Unit cell a=4.574 b=4.574 c=4.574 alpha=137.96 beta=122.08 gamma=74.11
Positions (direct):
Ni  0.750  0.250  0.500
P  0.250  0.750  0.500
Si  0.007  0.007  0.000
Si  0.493  0.493  0.000

- E (eV per atom) = -5.24
- M_tot (μB per cell) = 0.0
- ρ (Mg/m³) = 4.564
- V (Å³/atom) = 13.27
- E_form (uncorrected) (eV/atom) = 0.2726

***

Q: Which of these has the highest V?
A: Pr2SmRh

***

Q: What is the formula in the first record?
A: Pr2SmRh